[1]
The following is a DFT calculation (PBE) of an optimized crystal structure of LiPr4In5.

Cell: 3.6401 3.6401 20.8411 Å, 90.00 90.00 90.00°
Closest atoms and distances in Å follow each position.
Fractional coordinates of all 10 atoms:
Li 0.0000 0.0000 0.0000  8 In 3.00
Pr 0.0000 0.0000 0.1805  8 In 3.39-3.40, 4 Pr 3.64, 1 Li 3.76
Pr 0.0000 0.0000 0.3934  8 In 3.40, 4 Pr 3.64
Pr 0.0000 0.0000 0.6066  8 In 3.40, 4 Pr 3.64
Pr 0.0000 0.0000 0.8195  8 In 3.39-3.40, 4 Pr 3.64, 1 Li 3.76
In 0.5000 0.5000 0.0744  4 Li 3.00, 1 In 3.10
In 0.5000 0.5000 0.2871  8 Pr 3.40, 4 In 3.64
In 0.5000 0.5000 0.5000  8 Pr 3.40, 4 In 3.64
In 0.5000 0.5000 0.7129  8 Pr 3.40, 4 In 3.64
In 0.5000 0.5000 0.9256  4 Li 3.00, 1 In 3.10

- space-group type = No. 123
- DOS at the Fermi energy (states/eV per atom) = 0.6479
- size of the total moment (μB per formula unit) = 0.00
- formation enthalpy at 0 K (eV/atom) = -0.455
- density (g cm⁻³) = 6.9

[2]
The following is a DFT calculation (PBE) of an optimized crystal structure of Li6Pr2In9.

Cell: 5.9738 5.9738 13.8900 Å, 90.00 90.00 120.00°
Closest atoms and distances in Å follow each position.
Fractional coordinates of all 17 atoms:
Li 0.3333 0.6667 0.0000  6 In 3.00
Li 0.6667 0.3333 0.0000  6 In 3.00
Li 0.3333 0.6667 0.6614  6 In 2.83-2.84
Li 0.6667 0.3333 0.6614  6 In 2.83-2.84
Li 0.6667 0.3333 0.3386  6 In 2.83-2.84
Li 0.3333 0.6667 0.3386  6 In 2.83-2.84
Pr 0.0000 0.0000 0.6701  6 Li 3.45, 12 In 3.67-3.81
Pr 0.0000 0.0000 0.3299  6 Li 3.45, 12 In 3.67-3.81
In 0.5000 0.0000 0.8236  4 Li 2.84-3.00, 4 In 2.99
In 0.0000 0.5000 0.8236  4 Li 2.84-3.00, 4 In 2.99
In 0.5000 0.5000 0.8236  4 Li 2.84-3.00, 4 In 2.99
In 0.5000 0.0000 0.1764  4 Li 2.84-3.00, 4 In 2.99
In 0.0000 0.5000 0.1764  4 Li 2.84-3.00, 4 In 2.99
In 0.5000 0.5000 0.1764  4 Li 2.84-3.00, 4 In 2.99
In 0.5000 0.0000 0.5000  4 Li 2.83, 4 In 2.99
In 0.0000 0.5000 0.5000  4 Li 2.83, 4 In 2.99
In 0.5000 0.5000 0.5000  4 Li 2.83, 4 In 2.99

- space-group type = No. 191
- DOS at the Fermi energy (states/eV per atom) = 0.4968
- size of the total moment (μB per formula unit) = 0.00
- formation enthalpy at 0 K (eV/atom) = -0.191
- density (g cm⁻³) = 5.2

[3]
The following is a DFT calculation (PBE) of an optimized crystal structure of Li3PrIn4.

Cell: 4.8001 4.8001 9.2941 Å, 76.67 76.67 60.88°
Closest atoms and distances in Å follow each position.
Fractional coordinates of all 8 atoms:
Pr 0.0000 0.0000 0.0000  8 In 3.23-3.42
In 0.8794 0.8794 0.3816  7 Li 2.92-3.04, 1 In 3.25
In 0.3912 0.3912 0.8159  4 Li 2.83-2.91
In 0.1206 0.1206 0.6184  7 Li 2.92-3.04, 1 In 3.25
In 0.6088 0.6088 0.1841  4 Li 2.83-2.91
Li 0.2449 0.2449 0.2791  7 In 2.90-3.04
Li 0.7551 0.7551 0.7209  7 In 2.90-3.04
Li 0.5000 0.5000 0.5000  8 In 2.83-3.04

- space-group type = No. 12
- DOS at the Fermi energy (states/eV per atom) = 0.4524
- size of the total moment (μB per formula unit) = 0.00
- formation enthalpy at 0 K (eV/atom) = -0.336
- density (g cm⁻³) = 5.7

[4]
The following is a DFT calculation (PBE) of an optimized crystal structure of LiPr4In4.

Cell: 6.3301 8.9930 8.9930 Å, 90.00 90.00 90.00°
Closest atoms and distances in Å follow each position.
Fractional coordinates of all 18 atoms:
Li 0.0000 0.0000 0.0000  4 In 2.91, 4 Pr 3.04
Li 0.5000 0.5000 0.5000  4 In 2.91, 4 Pr 3.04
Pr 0.3578 0.4313 0.8160  1 Li 3.04, 4 In 3.24-3.41
Pr 0.8578 0.6840 0.9313  1 Li 3.04, 4 In 3.24-3.41
Pr 0.3578 0.5687 0.1840  1 Li 3.04, 4 In 3.24-3.41
Pr 0.1422 0.0687 0.6840  1 Li 3.04, 4 In 3.24-3.41
Pr 0.6422 0.8160 0.5687  1 Li 3.04, 4 In 3.24-3.41
Pr 0.1422 0.9313 0.3160  1 Li 3.04, 4 In 3.24-3.41
Pr 0.8578 0.3160 0.0687  1 Li 3.04, 4 In 3.24-3.41
Pr 0.6422 0.1840 0.4313  1 Li 3.04, 4 In 3.24-3.41
In 0.6428 0.9190 0.1871  1 Li 2.91, 2 In 3.16, 1 Pr 3.24
In 0.6428 0.0810 0.8129  1 Li 2.91, 2 In 3.16, 1 Pr 3.24
In 0.1428 0.6871 0.5810  1 Li 2.91, 2 In 3.16, 1 Pr 3.24
In 0.8572 0.4190 0.6871  1 Li 2.91, 2 In 3.16, 1 Pr 3.24
In 0.8572 0.5810 0.3129  1 Li 2.91, 2 In 3.16, 1 Pr 3.24
In 0.3572 0.1871 0.0810  1 Li 2.91, 2 In 3.16, 1 Pr 3.24
In 0.3572 0.8129 0.9190  1 Li 2.91, 2 In 3.16, 1 Pr 3.24
In 0.1428 0.3129 0.4190  1 Li 2.91, 2 In 3.16, 1 Pr 3.24

- space-group type = No. 86
- DOS at the Fermi energy (states/eV per atom) = 1.0388
- size of the total moment (μB per formula unit) = 0.00
- formation enthalpy at 0 K (eV/atom) = -0.365
- density (g cm⁻³) = 6.7

[5]
The following is a DFT calculation (PBE) of an optimized crystal structure of LiPr12In6.

Cell: 8.3443 8.3443 8.3443 Å, 88.68 88.68 88.68°
Closest atoms and distances in Å follow each position.
Fractional coordinates of all 19 atoms:
Li 0.0000 0.0000 0.0000  6 In 3.10, 6 Pr 3.44
Pr 0.8119 0.5226 0.4335  4 Pr 3.36-3.51, 4 In 3.40-3.57
Pr 0.4335 0.8119 0.5226  4 Pr 3.36-3.51, 4 In 3.40-3.57
Pr 0.5226 0.4335 0.8119  4 Pr 3.36-3.51, 4 In 3.40-3.57
Pr 0.1881 0.4774 0.5665  4 Pr 3.36-3.51, 4 In 3.40-3.57
Pr 0.5665 0.1881 0.4774  4 Pr 3.36-3.51, 4 In 3.40-3.57
Pr 0.4774 0.5665 0.1881  4 Pr 3.36-3.51, 4 In 3.40-3.57
Pr 0.0620 0.1318 0.3808  3 Pr 3.11-3.39, 1 In 3.39, 1 Li 3.44
Pr 0.8682 0.6192 0.9380  3 Pr 3.11-3.39, 1 In 3.39, 1 Li 3.44
Pr 0.6192 0.9380 0.8682  3 Pr 3.11-3.39, 1 In 3.39, 1 Li 3.44
Pr 0.9380 0.8682 0.6192  3 Pr 3.11-3.39, 1 In 3.39, 1 Li 3.44
Pr 0.1318 0.3808 0.0620  3 Pr 3.11-3.39, 1 In 3.39, 1 Li 3.44
Pr 0.3808 0.0620 0.1318  3 Pr 3.11-3.39, 1 In 3.39, 1 Li 3.44
In 0.7444 0.8860 0.2504  1 Li 3.10, 2 In 3.26, 4 Pr 3.39-3.47
In 0.7496 0.2556 0.1140  1 Li 3.10, 2 In 3.26, 4 Pr 3.39-3.47
In 0.1140 0.7496 0.2556  1 Li 3.10, 2 In 3.26, 4 Pr 3.39-3.47
In 0.2556 0.1140 0.7496  1 Li 3.10, 2 In 3.26, 4 Pr 3.39-3.47
In 0.2504 0.7444 0.8860  1 Li 3.10, 2 In 3.26, 4 Pr 3.39-3.47
In 0.8860 0.2504 0.7444  1 Li 3.10, 2 In 3.26, 4 Pr 3.39-3.47

- space-group type = No. 148
- DOS at the Fermi energy (states/eV per atom) = 1.1957
- size of the total moment (μB per formula unit) = 0.00
- formation enthalpy at 0 K (eV/atom) = -0.236
- density (g cm⁻³) = 6.8

[6]
The following is a DFT calculation (PBE) of an optimized crystal structure of Li2Pr3In3.

Cell: 4.7392 5.0172 9.2871 Å, 105.79 104.78 90.00°
Closest atoms and distances in Å follow each position.
Fractional coordinates of all 8 atoms:
Li 0.7578 0.7573 0.5156  4 In 2.85-3.12, 4 Pr 3.04-3.09
Li 0.2422 0.2427 0.4844  4 In 2.85-3.12, 4 Pr 3.04-3.09
Pr 0.8572 0.3572 0.7144  4 Li 3.04-3.09
Pr 0.1428 0.6428 0.2856  4 Li 3.04-3.09
Pr 0.0000 0.0000 0.0000  8 In 3.45-3.51, 4 Pr 3.51-3.52
In 0.3496 0.8496 0.6993  4 Li 2.85-3.12
In 0.5000 0.5000 0.0000  8 Pr 3.42-3.45, 4 In 3.60-3.61
In 0.6504 0.1504 0.3007  4 Li 2.85-3.12

- space-group type = No. 12
- DOS at the Fermi energy (states/eV per atom) = 0.4980
- size of the total moment (μB per formula unit) = 0.00
- formation enthalpy at 0 K (eV/atom) = -0.375
- density (g cm⁻³) = 6.3

[7]
The following is a DFT calculation (PBE) of an optimized crystal structure of LiPrIn2.

Cell: 4.4276 4.8516 4.8516 Å, 90.00 90.00 90.00°
Closest atoms and distances in Å follow each position.
Fractional coordinates of all 4 atoms:
Pr 0.5000 0.5000 0.5000  8 In 3.28, 4 Li 3.43
Li 0.5000 0.0000 0.0000  8 In 3.28, 4 Pr 3.43
In 0.0000 0.0000 0.5000  4 Pr 3.28, 4 Li 3.28, 4 In 3.43
In 0.0000 0.5000 0.0000  4 Li 3.28, 4 Pr 3.28, 4 In 3.43

- space-group type = No. 123
- DOS at the Fermi energy (states/eV per atom) = 0.3904
- size of the total moment (μB per formula unit) = 0.00
- formation enthalpy at 0 K (eV/atom) = -0.373
- density (g cm⁻³) = 6.0

[8]
The following is a DFT calculation (PBE) of an optimized crystal structure of LiPr3In12.

Cell: 4.7200 4.7200 18.5411 Å, 90.00 90.00 90.00°
Closest atoms and distances in Å follow each position.
Fractional coordinates of all 16 atoms:
Li 0.0000 0.0000 0.0000  12 In 3.14-3.34
Pr 0.0000 0.0000 0.2420  12 In 3.34-3.37
Pr 0.0000 0.0000 0.5000  12 In 3.34-3.36
Pr 0.0000 0.0000 0.7580  12 In 3.34-3.37
In 0.5000 0.5000 0.0000  8 In 3.14, 4 Li 3.34
In 0.5000 0.5000 0.2476  8 In 3.29-3.45, 4 Pr 3.34
In 0.5000 0.5000 0.5000  4 Pr 3.34, 8 In 3.36
In 0.5000 0.5000 0.7524  8 In 3.29-3.45, 4 Pr 3.34
In 0.5000 0.0000 0.1121  2 Li 3.14, 8 In 3.14-3.45, 2 Pr 3.37
In 0.5000 0.0000 0.3712  8 In 3.29-3.36, 4 Pr 3.36
In 0.5000 0.0000 0.6288  8 In 3.29-3.36, 4 Pr 3.36
In 0.5000 0.0000 0.8879  2 Li 3.14, 8 In 3.14-3.45, 2 Pr 3.37
In 0.0000 0.5000 0.1121  8 In 3.14-3.45, 2 Li 3.14, 2 Pr 3.37
In 0.0000 0.5000 0.3712  8 In 3.29-3.36, 4 Pr 3.36
In 0.0000 0.5000 0.6288  8 In 3.29-3.36, 4 Pr 3.36
In 0.0000 0.5000 0.8879  8 In 3.14-3.45, 2 Li 3.14, 2 Pr 3.37

- space-group type = No. 123
- DOS at the Fermi energy (states/eV per atom) = 0.3888
- size of the total moment (μB per formula unit) = 0.00
- formation enthalpy at 0 K (eV/atom) = -0.379
- density (g cm⁻³) = 7.3

[9]
The following is a DFT calculation (PBE) of an optimized crystal structure of LiPrIn2.

Cell: 4.9404 6.7193 6.7193 Å, 115.60 90.00 90.00°
Closest atoms and distances in Å follow each position.
Fractional coordinates of all 8 atoms:
Li 0.2500 0.3566 0.6434  6 In 3.03-3.07, 2 Pr 3.32
Li 0.7500 0.6434 0.3566  6 In 3.03-3.07, 2 Pr 3.32
Pr 0.2500 0.8390 0.1610  8 In 3.27-3.42, 4 Li 3.32-3.59
Pr 0.7500 0.1610 0.8390  8 In 3.27-3.42, 4 Li 3.32-3.59
In 0.7500 0.6418 0.8123  3 Li 3.03-3.07, 3 In 3.14-3.25, 3 Pr 3.27-3.31
In 0.7500 0.1877 0.3582  3 Li 3.03-3.07, 3 In 3.14-3.25, 3 Pr 3.27-3.31
In 0.2500 0.3582 0.1877  3 Li 3.03-3.07, 3 In 3.14-3.25, 3 Pr 3.27-3.31
In 0.2500 0.8123 0.6418  3 Li 3.03-3.07, 3 In 3.14-3.25, 3 Pr 3.27-3.31

- space-group type = No. 63
- DOS at the Fermi energy (states/eV per atom) = 0.3645
- size of the total moment (μB per formula unit) = 0.00
- formation enthalpy at 0 K (eV/atom) = -0.445
- density (g cm⁻³) = 6.2

[10]
The following is a DFT calculation (PBE) of an optimized crystal structure of LiPrIn2.

Cell: 3.6060 3.6060 7.5469 Å, 90.00 90.00 90.00°
Closest atoms and distances in Å follow each position.
Fractional coordinates of all 4 atoms:
Pr 0.5000 0.5000 0.5000  8 In 3.40, 4 Pr 3.61, 2 Li 3.77
Li 0.5000 0.5000 0.0000  8 In 2.97
In 0.0000 0.0000 0.7972  4 Li 2.97, 1 In 3.06
In 0.0000 0.0000 0.2028  4 Li 2.97, 1 In 3.06

- space-group type = No. 123
- DOS at the Fermi energy (states/eV per atom) = 0.6410
- size of the total moment (μB per formula unit) = 0.00
- formation enthalpy at 0 K (eV/atom) = -0.402
- density (g cm⁻³) = 6.4

[11]
The following is a DFT calculation (PBE) of an optimized crystal structure of LiPrIn2.

Cell: 6.3696 7.5376 8.2835 Å, 90.00 90.00 90.00°
Closest atoms and distances in Å follow each position.
Fractional coordinates of all 16 atoms:
Li 0.6414 0.2500 0.3936  6 In 2.79-2.86
Li 0.1414 0.7500 0.1064  6 In 2.79-2.86
Li 0.3586 0.7500 0.6064  6 In 2.79-2.86
Li 0.8586 0.2500 0.8936  6 In 2.79-2.86
Pr 0.3644 0.2500 0.0245  8 In 3.31-3.54, 3 Li 3.33-3.53
Pr 0.8644 0.7500 0.4755  8 In 3.31-3.54, 3 Li 3.33-3.53
Pr 0.6356 0.7500 0.9755  8 In 3.31-3.54, 3 Li 3.33-3.53
Pr 0.1356 0.2500 0.5245  8 In 3.31-3.54, 3 Li 3.33-3.53
In 0.9060 0.0500 0.1850  3 Li 2.79-2.86, 1 In 3.01
In 0.4060 0.9500 0.3150  3 Li 2.79-2.86, 1 In 3.01
In 0.0940 0.5500 0.8150  3 Li 2.79-2.86, 1 In 3.01
In 0.5940 0.4500 0.6850  3 Li 2.79-2.86, 1 In 3.01
In 0.0940 0.9500 0.8150  3 Li 2.79-2.86, 1 In 3.01
In 0.5940 0.0500 0.6850  3 Li 2.79-2.86, 1 In 3.01
In 0.9060 0.4500 0.1850  3 Li 2.79-2.86, 1 In 3.01
In 0.4060 0.5500 0.3150  3 Li 2.79-2.86, 1 In 3.01

- space-group type = No. 62
- DOS at the Fermi energy (states/eV per atom) = 0.7024
- size of the total moment (μB per formula unit) = 0.00
- formation enthalpy at 0 K (eV/atom) = -0.395
- density (g cm⁻³) = 6.3

[12]
The following is a DFT calculation (PBE) of an optimized crystal structure of LiPr8In2.

Cell: 5.4246 7.2235 9.6960 Å, 99.57 106.24 90.00°
Closest atoms and distances in Å follow each position.
Fractional coordinates of all 11 atoms:
Li 0.5000 0.0000 0.0000  6 Pr 3.03-3.34
Pr 0.4046 0.5426 0.8092  1 Li 3.47, 8 Pr 3.52-3.81, 2 In 3.69
Pr 0.6577 0.9463 0.3153  1 Li 3.03, 3 In 3.23-3.31
Pr 0.8106 0.7285 0.6212  3 In 3.25-3.40, 5 Pr 3.48-3.61
Pr 0.9747 0.2499 0.9495  1 In 3.30, 2 Li 3.34, 3 Pr 3.57-3.67
Pr 0.1894 0.2715 0.3788  3 In 3.25-3.40, 5 Pr 3.48-3.61
Pr 0.3423 0.0537 0.6847  1 Li 3.03, 3 In 3.23-3.31
Pr 0.5954 0.4574 0.1908  1 Li 3.47, 8 Pr 3.52-3.81, 2 In 3.69
Pr 0.0253 0.7501 0.0505  1 In 3.30, 2 Li 3.34, 3 Pr 3.57-3.67
In 0.7994 0.2739 0.5988  7 Pr 3.23-3.40
In 0.2006 0.7261 0.4012  7 Pr 3.23-3.40

- space-group type = No. 12
- DOS at the Fermi energy (states/eV per atom) = 1.0192
- size of the total moment (μB per formula unit) = 0.00
- formation enthalpy at 0 K (eV/atom) = -0.133
- density (g cm⁻³) = 6.3